1.
Material: CaTlSe2
Method: DFT, GGA-PBE
State: relaxed

Values from the calculation:
As for the uncorrected formation energy: -0.95 eV per atom. For the density, the calculation gives 4.52 Mg/m³.

Structure (CIF):
```
data_CaTlSe2
_chemical_formula_sum 'Ca4 Tl4 Se8'
_cell_length_a 6.516
_cell_length_b 6.516
_cell_length_c 13.936
_cell_angle_alpha 90.00
_cell_angle_beta 90.00
_cell_angle_gamma 90.00
_symmetry_space_group_name_H-M 'I -4 2 d'
_symmetry_Int_Tables_number 122
_symmetry_space_group_name_Hall 'I -4 2bw'
loop_
_atom_site_label
_atom_site_fract_x
_atom_site_fract_y
_atom_site_fract_z
Ca1 0.000 0.000 0.000
Tl1 0.000 0.000 0.500
Se1 0.246 0.250 0.125
```

***

2.
Material: Tm2BeAlPd6
Method: DFT, GGA-PBE
State: relaxed

Values from the calculation:
The formation energy is -0.73 eV per atom. For the density, the calculation gives 9.60 Mg/m³.

Structure (CIF):
```
data_Tm2BeAlPd6
_chemical_formula_sum 'Tm2 Be1 Al1 Pd6'
_cell_length_a 5.687
_cell_length_b 5.690
_cell_length_c 6.730
_cell_angle_alpha 70.89
_cell_angle_beta 71.08
_cell_angle_gamma 60.26
_symmetry_space_group_name_H-M 'P -1'
_symmetry_Int_Tables_number 2
loop_
_symmetry_equiv_pos_as_xyz
'x,y,z'
'-x,-y,-z'
loop_
_atom_site_label
_atom_site_fract_x
_atom_site_fract_y
_atom_site_fract_z
Tm1 0.176 0.340 0.240
Be1 0.500 0.500 0.500
Al1 0.000 0.000 0.000
Pd1 0.148 0.828 0.347
Pd2 0.335 0.614 0.817
Pd3 0.340 0.169 0.672
```

***

3.
Material: CaZn2MoSe
Method: DFT, GGA-PBE
State: relaxed

Values from the calculation:
As for the uncorrected formation energy: 0.56 eV per atom. As for the offset from the most stable computed form: 0 meV per atom. For the density, the calculation gives 4.87 Mg/m³.

Structure (CIF):
```
data_CaZn2MoSe
_chemical_formula_sum 'Ca1 Zn2 Mo1 Se1'
_cell_length_a 4.988
_cell_length_b 4.988
_cell_length_c 4.736
_cell_angle_alpha 90.00
_cell_angle_beta 90.00
_cell_angle_gamma 90.00
_symmetry_space_group_name_H-M 'P 4/m m m'
_symmetry_Int_Tables_number 123
_symmetry_space_group_name_Hall '-P 4 2'
loop_
_atom_site_label
_atom_site_fract_x
_atom_site_fract_y
_atom_site_fract_z
Ca1 0.000 0.000 0.000
Zn1 0.000 0.500 0.500
Mo1 0.500 0.500 0.000
Se1 0.500 0.500 0.500
```

***

4.
Material: BaRhW2
Method: DFT, GGA-PBE
State: relaxed

Values from the calculation:
The formation energy is 1.30 eV per atom. As for the offset from the most stable computed form: 714 meV per atom. For the density, the calculation gives 12.16 Mg/m³.

Structure (CIF):
```
data_BaRhW2
_chemical_formula_sum 'Ba1 Rh1 W2'
_cell_length_a 3.905
_cell_length_b 3.905
_cell_length_c 5.441
_cell_angle_alpha 90.00
_cell_angle_beta 90.00
_cell_angle_gamma 90.00
_symmetry_space_group_name_H-M 'P 4/m m m'
_symmetry_Int_Tables_number 123
_symmetry_space_group_name_Hall '-P 4 2'
loop_
_atom_site_label
_atom_site_fract_x
_atom_site_fract_y
_atom_site_fract_z
Ba1 0.000 0.000 0.000
Rh1 0.500 0.500 0.000
W1 0.000 0.500 0.500
```

***

5.
Material: VPd5Pt
Method: DFT, GGA-PBE
State: relaxed

Values from the calculation:
The formation energy is -0.01 eV per atom. As for the offset from the most stable computed form: 31 meV per atom. For the density, the calculation gives 11.50 Mg/m³.

Structure (CIF):
```
data_VPd5Pt
_chemical_formula_sum 'V4 Pd20 Pt4'
_cell_length_a 9.694
_cell_length_b 5.250
_cell_length_c 8.866
_cell_angle_alpha 90.00
_cell_angle_beta 95.36
_cell_angle_gamma 90.00
_symmetry_space_group_name_H-M 'C 1 2/c 1'
_symmetry_Int_Tables_number 15
loop_
_symmetry_equiv_pos_as_xyz
'x,y,z'
'-x,-y,-z'
'-x,y,-z+1/2'
'x,-y,z+1/2'
'x+1/2,y+1/2,z'
'-x+1/2,-y+1/2,-z'
'-x+1/2,y+1/2,-z+1/2'
'x+1/2,-y+1/2,z+1/2'
loop_
_atom_site_label
_atom_site_fract_x
_atom_site_fract_y
_atom_site_fract_z
V1 0.000 0.215 0.250
Pd1 0.000 0.226 0.750
Pd2 0.141 0.026 0.507
Pd3 0.213 0.410 0.223
Pt1 0.000 0.500 0.000
```

***

6.
Material: Ba2ZrTl
Method: DFT, GGA-PBE
State: relaxed

Values from the calculation:
The formation energy is 0.38 eV per atom. As for the offset from the most stable computed form: 247 meV per atom. For the density, the calculation gives 6.21 Mg/m³.

Structure (CIF):
```
data_Ba2ZrTl
_chemical_formula_sum 'Ba8 Zr4 Tl4'
_cell_length_a 8.480
_cell_length_b 8.480
_cell_length_c 8.480
_cell_angle_alpha 90.00
_cell_angle_beta 90.00
_cell_angle_gamma 90.00
_symmetry_space_group_name_H-M 'F m -3 m'
_symmetry_Int_Tables_number 225
_symmetry_space_group_name_Hall '-F 4 2 3'
loop_
_atom_site_label
_atom_site_fract_x
_atom_site_fract_y
_atom_site_fract_z
Ba1 0.250 0.250 0.250
Zr1 0.000 0.000 0.000
Tl1 0.000 0.000 0.500
```

***

7.
Material: Si2HgSe
Method: DFT, GGA-PBE
State: relaxed

Values from the calculation:
As for the uncorrected formation energy: 0.49 eV per atom. As for the offset from the most stable computed form: 344 meV per atom. For the density, the calculation gives 6.40 Mg/m³.

Structure (CIF):
```
data_Si2HgSe
_chemical_formula_sum 'Si2 Hg1 Se1'
_cell_length_a 3.528
_cell_length_b 3.528
_cell_length_c 6.999
_cell_angle_alpha 90.00
_cell_angle_beta 90.00
_cell_angle_gamma 90.00
_symmetry_space_group_name_H-M 'P 4/m m m'
_symmetry_Int_Tables_number 123
_symmetry_space_group_name_Hall '-P 4 2'
loop_
_atom_site_label
_atom_site_fract_x
_atom_site_fract_y
_atom_site_fract_z
Si1 0.000 0.000 0.179
Hg1 0.500 0.500 0.500
Se1 0.500 0.500 0.000
```

***

8.
Material: KCa2Fe
Method: DFT, GGA-PBE
State: relaxed

Values from the calculation:
The formation energy is 0.59 eV per atom. As for the offset from the most stable computed form: 186 meV per atom. For the density, the calculation gives 1.97 Mg/m³.

Structure (CIF):
```
data_KCa2Fe
_chemical_formula_sum 'K2 Ca4 Fe2'
_cell_length_a 3.732
_cell_length_b 6.409
_cell_length_c 12.360
_cell_angle_alpha 90.00
_cell_angle_beta 90.00
_cell_angle_gamma 90.00
_symmetry_space_group_name_H-M 'I m m m'
_symmetry_Int_Tables_number 71
_symmetry_space_group_name_Hall '-I 2 2'
loop_
_atom_site_label
_atom_site_fract_x
_atom_site_fract_y
_atom_site_fract_z
K1 0.000 0.000 0.000
Ca1 0.000 0.500 0.189
Fe1 0.000 0.000 0.500
```